{"formula": "La2TlAu", "functional": "meta-GGA SCAN", "state": "single point on PBEsol structure", "lattice": [[4.049, 0.000, 0.000], [2.024, 3.506, 0.000], [2.024, 1.169, 8.692]], "species": ["Au", "La", "La", "Tl"], "fractional_positions": [[0.000, 0.000, 0.000], [0.259, 0.259, 0.223], [0.741, 0.741, 0.777], [0.500, 0.500, 0.500]], "spacegroup": "R-3m", "vol_a3_per_atom": 30.84, "dos_at_fermi_per_ev_fu": 4.889, "ef_ev_per_atom": -0.681, "magnetic_moment_mub_per_fu": 0.00}